# 1
Compound: NaCaCdGe2
Source: the Alexandria database
Functional: PBE
Structure: optimized geometry

Cell: 5.264 5.264 5.181 Å, 90.00 90.00 90.00°
Sites, in units of the cell vectors:
Na (0.000, 0.000, 0.000)
Ca (0.500, 0.500, 0.000)
Cd (0.000, 0.000, 0.500)
Ge (0.000, 0.500, 0.500)
Ge (0.500, 0.000, 0.500)

Output
formation energy	0.223	eV/atom
crystal system	tetragonal
energy above the most stable polymorph in this dataset	0.0000	eV per atom


# 2
Compound: CaCdNiGe
Source: the Alexandria database
Functional: PBE
Structure: optimized geometry

Cell: 4.095 4.095 10.582 Å, 90.00 90.00 90.00°
Sites, in units of the cell vectors:
Ca (0.250, 0.250, 0.223)
Ca (0.750, 0.750, 0.777)
Cd (0.250, 0.750, 0.500)
Cd (0.750, 0.250, 0.500)
Ni (0.250, 0.750, 0.000)
Ni (0.750, 0.250, 0.000)
Ge (0.250, 0.250, 0.884)
Ge (0.750, 0.750, 0.116)

Output
formation energy	-0.379	eV/atom
crystal system	tetragonal


# 3
Compound: CaCdGe2O6
Source: the Alexandria database
Functional: PBE
Structure: optimized geometry

Cell: 7.206 7.206 5.470 Å, 98.72 98.72 87.96°
Sites, in units of the cell vectors:
Ca (0.101, 0.899, 0.750)
Ca (0.899, 0.101, 0.250)
Cd (0.289, 0.711, 0.250)
Cd (0.711, 0.289, 0.750)
Ge (0.207, 0.382, 0.731)
Ge (0.382, 0.207, 0.231)
Ge (0.618, 0.793, 0.769)
Ge (0.793, 0.618, 0.269)
O (0.031, 0.214, 0.658)
O (0.149, 0.605, 0.870)
O (0.214, 0.031, 0.158)
O (0.298, 0.405, 0.442)
O (0.395, 0.851, 0.630)
O (0.405, 0.298, 0.942)
O (0.595, 0.702, 0.058)
O (0.605, 0.149, 0.370)
O (0.702, 0.595, 0.558)
O (0.786, 0.969, 0.842)
O (0.851, 0.395, 0.130)
O (0.969, 0.786, 0.342)

Output
formation energy from raw total energies	-1.88	eV per atom
crystal system	monoclinic


# 4
Compound: CaCd2GeO4
Source: the Alexandria database
Functional: PBE
Structure: optimized geometry

Cell: 6.505 6.502 4.961 Å, 67.62 67.54 44.84°
Sites, in units of the cell vectors:
Ca (0.000, 0.000, 0.000)
Cd (0.250, 0.250, 0.250)
Cd (0.750, 0.750, 0.750)
Ge (0.499, 0.499, 0.501)
O (0.193, 0.613, 0.807)
O (0.386, 0.805, 0.195)
O (0.613, 0.193, 0.387)
O (0.805, 0.386, 0.614)

Output
formation energy from raw total energies	-1.49	eV per atom
crystal system	orthorhombic


# 5
Compound: Ca2CdGe2Pd5
Source: the Alexandria database
Functional: PBE
Structure: optimized geometry

Cell: 10.221 10.221 3.592 Å, 90.00 90.00 90.00°
Sites, in units of the cell vectors:
Ca (0.175, 0.325, 0.000)
Ca (0.325, 0.825, 0.000)
Ca (0.675, 0.175, 0.000)
Ca (0.825, 0.675, 0.000)
Cd (0.000, 0.000, 0.000)
Cd (0.500, 0.500, 0.000)
Ge (0.125, 0.625, 0.000)
Ge (0.375, 0.125, 0.000)
Ge (0.625, 0.875, 0.000)
Ge (0.875, 0.375, 0.000)
Pd (0.000, 0.500, 0.500)
Pd (0.062, 0.790, 0.500)
Pd (0.210, 0.062, 0.500)
Pd (0.290, 0.562, 0.500)
Pd (0.438, 0.290, 0.500)
Pd (0.500, 0.000, 0.500)
Pd (0.562, 0.710, 0.500)
Pd (0.710, 0.438, 0.500)
Pd (0.790, 0.938, 0.500)
Pd (0.938, 0.210, 0.500)

Output
formation energy	-0.630	eV/atom
crystal system	tetragonal


# 6
Compound: Ca2CdGe4Pd3
Source: the Alexandria database
Functional: PBE
Structure: optimized geometry

Cell: 4.316 4.316 10.766 Å, 90.00 90.00 90.00°
Sites, in units of the cell vectors:
Ca (0.000, 0.500, 0.244)
Ca (0.500, 0.000, 0.756)
Cd (0.000, 0.000, 0.500)
Ge (0.000, 0.000, 0.000)
Ge (0.000, 0.500, 0.646)
Ge (0.500, 0.000, 0.354)
Ge (0.500, 0.500, 0.000)
Pd (0.000, 0.500, 0.874)
Pd (0.500, 0.000, 0.126)
Pd (0.500, 0.500, 0.500)

Output
formation energy	-0.564	eV/atom
crystal system	tetragonal


Number 1: total moment 0.00 μB per cell, DOS at the Fermi energy 2.787 states/eV/cell, volume 28.71 Å³ per atom. Number 2: total moment 0.00 μB per cell, DOS at the Fermi energy 4.773 states/eV/cell, volume 22.18 Å³ per atom. Number 3: total moment 0.00 μB per cell, DOS at the Fermi energy 0.000 states/eV/cell, volume 13.87 Å³ per atom. Number 4: total moment 0.00 μB per cell, DOS at the Fermi energy 1.305 states/eV/cell, volume 16.85 Å³ per atom. Number 5: total moment 0.00 μB per cell, DOS at the Fermi energy 8.116 states/eV/cell, volume 18.76 Å³ per atom. Number 6: total moment 0.00 μB per cell, DOS at the Fermi energy 4.247 states/eV/cell, volume 20.06 Å³ per atom.